*i*
La5Pm4Er2 PBE optimized geometry; DOS at the Fermi energy = 1.518 states/eV per atom; total magnetization = 0.0 μB/cell; symmetry = C2/m
1.0
3.587 0.000 -0.637
-0.057 12.048 -0.321
-0.267 1.072 8.912
La Pm Er
5 4 2
Cartesian
0.536 11.222 3.017
2.727 1.898 4.936
1.794 0.000 -0.319
2.460 8.081 3.431
0.804 5.039 4.522
0.117 8.518 0.657
0.390 2.422 2.193
3.147 4.602 7.296
2.874 10.698 5.761
2.047 5.414 1.110
1.216 7.706 6.844

*ii*
La5Pm4Er2 PBE optimized geometry; DOS at the Fermi energy = 1.758 states/eV per atom; total magnetization = 0.0 μB/cell; symmetry = C2/m
1.0
3.621 0.000 0.000
0.000 9.284 -0.715
-1.810 -4.727 12.107
Pm La Er
4 5 2
Cartesian
0.000 6.413 -0.086
1.810 -1.856 11.478
1.810 3.847 5.170
0.000 0.710 6.222
1.810 0.000 0.000
1.810 -2.492 7.888
1.810 3.100 8.549
0.000 7.049 3.504
0.000 1.457 2.843
1.810 4.347 1.939
0.000 0.210 9.453

Energies in kJ/mol of atoms, measured from the most stable structure: *i* 0.0; *ii* 12.5.

*i*
LaPm3Er3 PBE optimized geometry; DOS at the Fermi energy = 1.708 states/eV per atom; total magnetization = 0.0 μB/cell; symmetry = P6_3/m
1.0
5.783 0.000 0.000
0.000 9.663 0.000
0.000 -4.831 8.368
Er Pm La
6 6 2
Cartesian
4.338 0.677 1.935
4.338 2.817 7.987
1.446 2.015 0.381
4.338 -3.494 6.814
1.446 4.154 6.433
1.446 8.326 1.554
4.338 3.460 4.397
4.338 4.125 0.798
1.446 1.372 3.972
4.338 6.909 3.174
1.446 0.706 7.571
1.446 -2.078 5.195
1.446 4.831 2.789
4.338 0.000 5.579

*ii*
LaPm3Er3 PBE optimized geometry; DOS at the Fermi energy = 1.567 states/eV per atom; total magnetization = 0.0 μB/cell; symmetry = R-3
1.0
8.083 0.797 3.754
2.710 7.657 3.754
1.018 0.797 8.854
Er Pm La
6 6 2
Cartesian
9.683 6.371 7.718
7.210 2.625 11.621
4.601 6.626 4.742
2.128 2.880 8.645
7.164 1.376 5.860
4.646 7.875 10.503
4.360 4.270 10.902
6.295 7.690 7.572
3.098 6.041 8.004
7.450 4.981 5.461
5.516 1.561 8.791
8.713 3.211 8.359
7.722 6.049 10.698
4.089 3.203 5.664

Energies in kJ/mol of atoms, measured from the most stable structure: *i* 0.0; *ii* 16.2.

*i*
La2Pm3Er PBE optimized geometry; DOS at the Fermi energy = 1.558 states/eV per atom; total magnetization = 0.0 μB/cell; symmetry = C2/c
1.0
-1.360 5.527 3.728
0.354 -6.101 6.879
6.452 1.080 1.869
Pm Er La
6 2 4
Cartesian
3.061 2.332 4.987
4.418 -4.454 8.748
0.355 0.807 6.235
2.385 -1.826 7.489
5.091 -0.301 6.242
1.028 4.960 3.729
0.690 -4.025 5.626
4.756 4.531 6.850
3.073 1.729 8.741
2.373 -1.223 3.735
5.128 -0.928 10.009
0.318 1.434 2.468

*ii*
La2Pm3Er PBE optimized geometry; DOS at the Fermi energy = 1.643 states/eV per atom; total magnetization = 0.0 μB/cell; symmetry = Pnnm
1.0
-3.917 -2.384 3.527
6.796 -0.293 7.348
-2.030 6.494 2.136
La Er Pm
4 2 6
Cartesian
-2.333 3.616 4.599
1.750 1.514 2.967
3.182 0.200 8.413
3.016 4.687 6.518
-1.015 3.247 1.068
1.439 -1.339 5.438
4.026 1.431 5.438
0.740 4.770 4.047
0.424 1.908 6.506
-1.329 0.380 3.525
2.178 3.437 9.486
0.000 0.000 0.000

Energies in kJ/mol of atoms, measured from the most stable structure: *i* 0.0; *ii* 0.8.

*i*
La12PmEr7 PBE optimized geometry; DOS at the Fermi energy = 1.377 states/eV per atom; total magnetization = 0.0 μB/cell; symmetry = R-3
1.0
6.233 0.000 -1.283
-3.217 9.787 -5.107
0.200 0.000 11.497
La Er Pm
12 7 1
Cartesian
0.091 1.805 5.754
4.500 3.995 6.129
2.751 0.011 3.531
1.480 6.317 -4.016
-1.476 6.306 4.033
4.693 3.481 1.073
-1.283 5.792 -1.022
1.913 3.987 4.084
1.304 5.799 1.022
1.737 3.470 9.123
3.125 7.982 -0.647
0.465 9.776 1.576
5.563 0.010 1.712
-2.347 9.777 3.394
1.514 2.429 1.108
-1.699 7.368 -3.982
3.116 0.000 -0.641
1.703 7.358 3.999
4.916 2.419 9.089
0.000 0.000 0.000

*ii*
La12PmEr7 PBE optimized geometry; DOS at the Fermi energy = 1.722 states/eV per atom; total magnetization = 0.0 μB/cell; symmetry = R-3
1.0
-3.463 -6.094 -5.409
-2.588 -4.820 6.961
-7.788 4.210 0.118
Er La Pm
7 12 1
Cartesian
-11.273 -4.720 3.269
-2.567 -1.984 -1.600
-10.332 -7.236 0.960
-3.507 0.532 0.709
-1.935 -2.428 1.857
-6.920 -3.352 0.835
-11.904 -4.277 -0.188
-4.410 -5.212 -1.977
-7.600 -4.322 3.905
-4.372 -5.268 1.654
-9.233 -3.471 -2.672
-6.496 -0.637 2.645
-6.774 -7.359 2.094
-7.343 -6.068 -0.976
-9.467 -1.437 0.015
-7.065 0.654 -0.425
-4.607 -3.233 4.341
-6.239 -2.383 -2.236
-9.429 -1.492 3.646
0.000 0.000 0.000

Energies in kJ/mol of atoms, measured from the most stable structure: *i* 1.2; *ii* 0.0.

*i*
La2Pm5Er4 PBE optimized geometry; DOS at the Fermi energy = 1.325 states/eV per atom; total magnetization = 0.0 μB/cell; symmetry = Immm
1.0
3.516 0.000 0.000
0.000 11.589 0.000
-1.758 -5.795 9.349
Er La Pm
4 2 5
Cartesian
0.000 0.000 7.706
0.000 3.213 0.000
1.758 5.795 1.644
0.000 8.376 0.000
1.758 5.795 5.570
0.000 0.000 3.779
1.758 2.479 6.068
1.758 0.000 0.000
1.758 -2.479 6.068
0.000 8.274 3.281
0.000 3.315 3.281

*ii*
La2Pm5Er4 PBE optimized geometry; DOS at the Fermi energy = 1.372 states/eV per atom; total magnetization = 0.0 μB/cell; symmetry = C2/m
1.0
3.495 0.000 -0.660
-0.235 11.674 -1.245
-0.095 0.331 9.083
La Er Pm
2 4 5
Cartesian
0.781 7.720 4.134
2.385 4.284 3.044
3.124 8.988 6.959
0.041 3.016 0.219
2.019 9.416 1.108
1.146 2.588 6.069
1.748 0.000 -0.330
2.600 11.094 4.185
0.565 0.910 2.993
0.186 6.326 0.985
2.979 5.678 6.193

Energies in kJ/mol of atoms, measured from the most stable structure: *i* 11.0; *ii* 0.0.

*i*
LaPm3Er PBE optimized geometry; DOS at the Fermi energy = 1.424 states/eV per atom; total magnetization = 0.0 μB/cell; symmetry = Ama2
1.0
-2.027 -0.314 5.611
5.137 -3.032 -0.334
5.256 8.643 2.382
La Pm Er
2 6 2
Cartesian
4.541 4.883 6.267
4.654 -0.478 2.801
0.655 -0.522 3.390
2.601 2.678 4.272
3.791 6.137 3.375
2.623 1.261 0.972
5.422 2.988 2.806
7.368 6.188 3.689
2.829 -3.043 4.800
5.457 1.279 5.991

*ii*
LaPm3Er PBE optimized geometry; DOS at the Fermi energy = 1.509 states/eV per atom; total magnetization = 0.0 μB/cell; symmetry = P-1
1.0
5.330 0.208 -3.330
-0.889 11.720 -4.652
-1.357 -2.790 7.519
Er Pm La
2 6 2
Cartesian
-0.549 8.935 -0.340
3.632 0.203 -0.123
-0.116 3.055 1.974
1.909 0.228 3.078
1.174 8.909 -3.542
1.496 6.123 0.780
1.588 3.014 -1.243
3.199 6.083 -2.438
-0.444 5.860 -2.326
0.000 0.000 0.000

Energies in kJ/mol of atoms, measured from the most stable structure: *i* 17.6; *ii* 0.0.

*i*
LaPmSmEr PBE optimized geometry; DOS at the Fermi energy = 2.154 states/eV per atom; total magnetization = 0.0 μB/cell; symmetry = F-43m
1.0
-0.516 -2.178 5.335
-2.468 -5.173 0.787
3.224 -4.530 1.599
La Pm Sm Er
1 1 1 1
Cartesian
0.179 -8.911 5.791
0.000 0.000 0.000
0.060 -2.970 1.930
0.120 -5.941 3.860

*ii*
LaPmSmEr PBE optimized geometry; DOS at the Fermi energy = 1.165 states/eV per atom; total magnetization = 0.0 μB/cell; symmetry = P3m1
1.0
3.646 0.000 0.000
-1.823 3.158 0.000
0.000 0.000 11.801
Sm Er Pm La
1 1 1 1
Cartesian
1.823 1.053 2.016
1.823 1.053 8.011
0.000 2.105 10.875
0.000 0.000 5.052

Energies in kJ/mol of atoms, measured from the most stable structure: *i* 9.5; *ii* 0.0.

*i*
LaPmErTm PBE optimized geometry; DOS at the Fermi energy = 1.761 states/eV per atom; total magnetization = 0.0 μB/cell; symmetry = Cm
1.0
3.799 0.000 0.608
0.000 5.859 0.000
0.997 -2.929 6.164
Pm La Er Tm
1 1 1 1
Cartesian
3.362 0.000 5.387
1.825 0.000 1.900
1.479 2.929 4.805
3.761 2.929 2.363

*ii*
LaPmErTm PBE optimized geometry; DOS at the Fermi energy = 1.736 states/eV per atom; total magnetization = 0.0 μB/cell; symmetry = F-43m
1.0
5.739 0.000 0.000
2.870 4.970 0.000
2.870 1.657 4.686
Tm La Pm Er
1 1 1 1
Cartesian
5.739 3.314 2.343
2.870 1.657 1.172
8.609 4.970 3.515
0.000 0.000 0.000

Energies in kJ/mol of atoms, measured from the most stable structure: *i* 1.0; *ii* 0.0.